Entry from Alexandria: a relaxed structure of Rb2ZnGa4Ge3 (PBE).

crystal system	tetragonal
energy of formation from the pure elements	-0.8	eV per formula unit
total DFT energy (no corrections)	-2.9957	eV/atom
space group	P-4m2, No. 115

abc: 4.6544 4.6544 10.8771
angles: 90.00 90.00 90.00
Positions (direct):
1 Rb 0.5000 0.0000 0.2471
2 Rb 0.0000 0.5000 0.7529
3 Zn 0.5000 0.5000 0.5000
4 Ga 0.5000 0.5000 0.0000
5 Ga 0.0000 0.0000 0.0000
6 Ga 0.5000 0.0000 0.6272
7 Ga 0.0000 0.5000 0.3728
8 Ge 0.0000 0.0000 0.5000
9 Ge 0.5000 0.0000 0.8731
10 Ge 0.0000 0.5000 0.1269

---

Entry from Alexandria: a relaxed structure of NdGaHg (PBE).

crystal system	tetragonal
energy of formation from the pure elements	-0.8	eV per formula unit
total DFT energy (no corrections)	-2.9783	eV/atom
space group	I4/mmm, No. 139
excess energy over the best structure of this formula in the dataset	0.2518	eV/atom

abc: 4.8138 8.4395 8.4395
angles: 85.33 73.43 73.43
Positions (direct):
1 Nd 0.2804 0.2196 0.2196
2 Nd 0.7196 0.7804 0.7804
3 Nd 0.5000 0.2196 0.7804
4 Nd 0.5000 0.7804 0.2196
5 Ga 0.2052 0.5896 0.0000
6 Ga 0.7948 0.4104 0.0000
7 Ga 0.7948 0.0000 0.4104
8 Ga 0.2052 0.0000 0.5896
9 Hg 0.6265 0.3735 0.3735
10 Hg 0.3735 0.6265 0.6265
11 Hg 0.0000 0.3735 0.6265
12 Hg 0.0000 0.6265 0.3735

---

Entry from Alexandria: a relaxed structure of Ce4Pr3NdTe8 (PBE).

crystal system	trigonal
total DFT energy (no corrections)	-5.6570	eV/atom
space group	R-3m, No. 166

abc: 8.9777 9.0563 8.9778
angles: 119.71 120.00 90.00
Positions (direct):
1 Ce 0.5000 0.0000 0.0000
2 Ce 0.5000 0.0000 0.5000
3 Ce 0.0000 0.0000 0.0000
4 Ce 0.0000 0.0000 0.5000
5 Pr 0.5000 0.5000 0.0000
6 Pr 0.5000 0.5000 0.5000
7 Pr 0.0000 0.5000 0.5000
8 Nd 0.0000 0.5000 0.0000
9 Te 0.2501 0.7521 0.0020
10 Te 0.2501 0.7521 0.5002
11 Te 0.2490 0.2469 0.4980
12 Te 0.7520 0.7521 0.0020
13 Te 0.2480 0.2479 0.9980
14 Te 0.7510 0.7531 0.5020
15 Te 0.7499 0.2479 0.4998
16 Te 0.7499 0.2479 0.9980

---

Entry from Alexandria: a relaxed structure of SrMgTlZn (PBE).

crystal system	cubic
energy of formation from the pure elements	-0.7	eV per formula unit
total DFT energy (no corrections)	-1.9078	eV/atom
space group	F-43m, No. 216

abc: 5.2982 5.2982 5.2982
angles: 60.00 60.00 60.00
Positions (direct):
1 Mg 0.2500 0.2500 0.2500
2 Sr 0.7500 0.7500 0.7500
3 Tl 0.5000 0.5000 0.5000
4 Zn 0.0000 0.0000 0.0000

---

Entry from Alexandria: a relaxed structure of Ac2PaPdO8 (PBE).

crystal system	monoclinic
total DFT energy (no corrections)	-7.5966	eV/atom
space group	P2/m, No. 10

abc: 4.4832 5.5411 7.3323
angles: 90.00 90.00 96.07
Positions (direct):
1 Ac 0.5000 0.5000 0.7620
2 Ac 0.5000 0.5000 0.2380
3 Pa 0.0000 0.0000 0.5000
4 Pd 0.0000 0.0000 0.0000
5 O 0.0538 0.7764 0.2388
6 O 0.5936 0.8250 0.0000
7 O 0.9462 0.2236 0.2388
8 O 0.9462 0.2236 0.7612
9 O 0.4064 0.1750 0.0000
10 O 0.0538 0.7764 0.7612
11 O 0.5870 0.7707 0.5000
12 O 0.4130 0.2293 0.5000

---

Entry from Alexandria: a relaxed structure of Ac3AgP (PBE).

crystal system	cubic
energy of formation from the pure elements	-1.5	eV per formula unit
total DFT energy (no corrections)	-4.4208	eV/atom
space group	Pm-3m, No. 221

abc: 5.8357 5.8357 5.8357
angles: 90.00 90.00 90.00
Positions (direct):
1 P 0.0000 0.0000 0.0000
2 Ac 0.0000 0.5000 0.0000
3 Ac 0.0000 0.0000 0.5000
4 Ac 0.5000 0.0000 0.0000
5 Ag 0.5000 0.5000 0.5000

---

Entry from Alexandria: a relaxed structure of Ca2NdSm (PBE).

crystal system	tetragonal
energy of formation from the pure elements	0.5	eV per formula unit
total DFT energy (no corrections)	-3.2444	eV/atom
space group	P4/mmm, No. 123
excess energy over the best structure of this formula in the dataset	0.0891	eV/atom

abc: 5.6322 5.1225 5.1225
angles: 90.00 90.00 90.00
Positions (direct):
1 Ca 0.0000 0.0000 0.5000
2 Ca 0.0000 0.5000 0.0000
3 Nd 0.5000 0.0000 0.0000
4 Sm 0.5000 0.5000 0.5000

---

Entry from Alexandria: a relaxed structure of AgSb2P (PBE).

crystal system	tetragonal
total DFT energy (no corrections)	-3.7327	eV/atom
space group	P4/mmm, No. 123

abc: 5.0011 5.0037 3.4837
angles: 90.00 90.00 90.00
Positions (direct):
1 Ag 0.5000 0.0000 0.5000
2 P 0.0000 0.5000 0.5000
3 Sb 0.0000 0.0000 0.0000
4 Sb 0.5000 0.5000 0.0000

---

Entry from Alexandria: a relaxed structure of LiPa2AlS6 (PBE).

crystal system	tetragonal
total DFT energy (no corrections)	-6.0761	eV/atom
space group	P4mm, No. 99

abc: 6.0063 6.1294 6.1294
angles: 90.00 90.00 90.00
Positions (direct):
1 Li 0.5541 0.5000 0.5000
2 Pa 0.0054 0.5000 0.0000
3 Pa 0.0054 0.0000 0.5000
4 Al 0.5921 0.0000 0.0000
5 S 0.7300 0.2474 0.2474
6 S 0.7300 0.2474 0.7526
7 S 0.1613 0.5000 0.5000
8 S 0.2084 0.0000 0.0000
9 S 0.7300 0.7526 0.7526
10 S 0.7300 0.7526 0.2474

---

Entry from Alexandria: a relaxed structure of Be5Zn3 (PBE).

crystal system	monoclinic
energy of formation from the pure elements	1.8	eV per formula unit
total DFT energy (no corrections)	-2.5783	eV/atom
space group	P2_1/m, No. 11
excess energy over the best structure of this formula in the dataset	0.0157	eV/atom

abc: 6.7953 7.9119 4.0679
angles: 90.00 90.00 125.25
Positions (direct):
1 Be 0.3483 0.6746 0.0002
2 Be 0.6517 0.3254 0.5002
3 Be 0.6517 0.3254 0.9998
4 Be 0.3483 0.6746 0.4998
5 Be 0.3020 0.0779 0.2500
6 Be 0.6980 0.9221 0.7500
7 Be 0.9998 0.0955 0.2500
8 Be 0.6999 0.7760 0.2500
9 Be 0.3002 0.2240 0.7500
10 Be 0.0002 0.9046 0.7500
11 Zn 0.6401 0.0499 0.2500
12 Zn 0.3599 0.9501 0.7500
13 Zn 0.0003 0.6560 0.2500
14 Zn 0.3591 0.4099 0.2500
15 Zn 0.6409 0.5901 0.7500
16 Zn 0.9997 0.3440 0.7500

---

Entry from Alexandria: a relaxed structure of LiHfTc3 (PBE).

crystal system	cubic
energy of formation from the pure elements	4.0	eV per formula unit
total DFT energy (no corrections)	-7.7932	eV/atom
space group	Pm-3m, No. 221
excess energy over the best structure of this formula in the dataset	0.0000	eV/atom

abc: 4.2335 4.2335 4.2335
angles: 90.00 90.00 90.00
Positions (direct):
1 Hf 0.5000 0.5000 0.5000
2 Tc 0.0000 0.5000 0.0000
3 Tc 0.0000 0.0000 0.5000
4 Tc 0.5000 0.0000 0.0000
5 Li 0.0000 0.0000 0.0000

---

Entry from Alexandria: a relaxed structure of Mg3Sn (PBE).

crystal system	hexagonal
energy of formation from the pure elements	-0.5	eV per formula unit
total DFT energy (no corrections)	-2.3109	eV/atom
space group	P6_3/mmc, No. 194

abc: 5.1072 6.3983 6.3985
angles: 59.99 90.00 90.00
Positions (direct):
1 Mg 0.2500 0.8350 0.3301
2 Mg 0.2500 0.3300 0.8350
3 Mg 0.2500 0.8350 0.8350
4 Mg 0.7500 0.1650 0.1650
5 Mg 0.7500 0.6700 0.1650
6 Mg 0.7500 0.1650 0.6699
7 Sn 0.2500 0.3333 0.3333
8 Sn 0.7500 0.6667 0.6667

---

Across the entries above, calculated volume takes the values 23.56, 26.25, 32.40, 26.29, 15.09, 39.75, 36.95, 21.79, 22.57, 11.16, 15.18, 22.63 A^3/atom, respectively.